# 1
A plane-wave DFT calculation with PBE was carried out for a relaxed structure of PmGa4Cu2Ag.

a = 9.501 Å, b = 9.501 Å, c = 9.501 Å
α = 25.81°, β = 25.81°, γ = 25.81°
Fractional positions:
1 Pm 0.000 0.000 0.000
2 Ga 0.119 0.119 0.119
3 Ga 0.399 0.399 0.399
4 Ga 0.601 0.601 0.601
5 Ga 0.881 0.881 0.881
6 Cu 0.241 0.241 0.241
7 Cu 0.759 0.759 0.759
8 Ag 0.500 0.500 0.500

Output
The total energy comes out at -0.1369 Ha/atom. The density of states at the Fermi level comes out at 2.12 states/eV/f.u. As for the space group: R-3m (166).

***

# 2
A plane-wave DFT calculation with PBE was carried out for a relaxed structure of PmGa2CuAg.

a = 6.015 Å, b = 6.015 Å, c = 6.015 Å
α = 137.84°, β = 137.84°, γ = 61.15°
Fractional positions:
1 Pm 0.000 0.000 0.000
2 Ga 0.381 0.381 0.000
3 Ga 0.619 0.619 0.000
4 Cu 0.250 0.750 0.500
5 Ag 0.750 0.250 0.500

Output
The total energy comes out at -0.1447 Ha/atom. The density of states at the Fermi level comes out at 2.60 states/eV/f.u. As for the space group: I-4m2 (119).

***

# 3
A plane-wave DFT calculation with PBE was carried out for a relaxed structure of Pr2Ga3Cu4Ag.

a = 4.254 Å, b = 4.254 Å, c = 10.365 Å
α = 90.00°, β = 90.00°, γ = 90.00°
Fractional positions:
1 Pr 0.000 0.500 0.236
2 Pr 0.500 0.000 0.764
3 Ga 0.000 0.500 0.877
4 Ga 0.500 0.000 0.123
5 Ga 0.500 0.500 0.500
6 Cu 0.000 0.000 0.000
7 Cu 0.000 0.500 0.643
8 Cu 0.500 0.000 0.357
9 Cu 0.500 0.500 0.000
10 Ag 0.000 0.000 0.500

Output
The total energy comes out at -0.1517 Ha/atom. The density of states at the Fermi level comes out at 6.03 states/eV/f.u. As for the space group: P-4m2 (115).

***

# 4
A plane-wave DFT calculation with PBE was carried out for a relaxed structure of PrGa3CuAg.

a = 6.918 Å, b = 6.918 Å, c = 6.511 Å
α = 90.00°, β = 90.00°, γ = 128.96°
Fractional positions:
1 Pr 0.204 0.796 0.750
2 Pr 0.796 0.204 0.250
3 Ga 0.221 0.221 0.000
4 Ga 0.221 0.221 0.500
5 Ga 0.367 0.633 0.250
6 Ga 0.633 0.367 0.750
7 Ga 0.779 0.779 0.000
8 Ga 0.779 0.779 0.500
9 Cu 0.429 0.571 0.750
10 Cu 0.571 0.429 0.250
11 Ag 0.152 0.848 0.250
12 Ag 0.848 0.152 0.750

Output
The total energy comes out at -0.1336 Ha/atom. The density of states at the Fermi level comes out at 2.61 states/eV/f.u. As for the space group: Cmcm (63).

***

# 5
A plane-wave DFT calculation with PBE was carried out for a relaxed structure of Pr2Ga4Cu3Ag.

a = 4.296 Å, b = 4.296 Å, c = 10.277 Å
α = 90.00°, β = 90.00°, γ = 90.00°
Fractional positions:
1 Pr 0.000 0.500 0.246
2 Pr 0.500 0.000 0.754
3 Ga 0.000 0.000 0.000
4 Ga 0.000 0.500 0.641
5 Ga 0.500 0.000 0.359
6 Ga 0.500 0.500 0.000
7 Cu 0.000 0.500 0.875
8 Cu 0.500 0.000 0.125
9 Cu 0.500 0.500 0.500
10 Ag 0.000 0.000 0.500

Output
The total energy comes out at -0.1507 Ha/atom. The density of states at the Fermi level comes out at 5.90 states/eV/f.u. As for the space group: P-4m2 (115).

***

# 6
A plane-wave DFT calculation with PBE was carried out for a relaxed structure of PrGaCuAg.

a = 4.841 Å, b = 4.841 Å, c = 4.841 Å
α = 60.00°, β = 60.00°, γ = 60.00°
Fractional positions:
1 Pr 0.000 0.000 0.000
2 Ga 0.750 0.750 0.750
3 Cu 0.250 0.250 0.250
4 Ag 0.500 0.500 0.500

Output
The total energy comes out at -0.1446 Ha/atom. The density of states at the Fermi level comes out at 2.51 states/eV/f.u. As for the space group: F-43m (216).

***

# 7
A plane-wave DFT calculation with PBE was carried out for a relaxed structure of Pr2Ga6CuAg.

a = 12.566 Å, b = 12.566 Å, c = 12.566 Å
α = 29.40°, β = 29.40°, γ = 29.40°
Fractional positions:
1 Pr 0.114 0.114 0.114
2 Pr 0.294 0.294 0.294
3 Pr 0.706 0.706 0.706
4 Pr 0.886 0.886 0.886
5 Ga 0.058 0.659 0.659
6 Ga 0.233 0.233 0.662
7 Ga 0.233 0.662 0.233
8 Ga 0.338 0.767 0.767
9 Ga 0.341 0.341 0.942
10 Ga 0.341 0.942 0.341
11 Ga 0.659 0.058 0.659
12 Ga 0.659 0.659 0.058
13 Ga 0.662 0.233 0.233
14 Ga 0.767 0.338 0.767
15 Ga 0.767 0.767 0.338
16 Ga 0.942 0.341 0.341
17 Cu 0.429 0.429 0.429
18 Cu 0.571 0.571 0.571
19 Ag 0.000 0.000 0.000
20 Ag 0.500 0.500 0.500

Output
The total energy comes out at -0.1385 Ha/atom. The density of states at the Fermi level comes out at 4.54 states/eV/f.u. As for the space group: R-3m (166).

***

# 8
A plane-wave DFT calculation with PBE was carried out for a relaxed structure of PrGa4Cu2Ag.

a = 9.605 Å, b = 9.605 Å, c = 9.605 Å
α = 25.59°, β = 25.59°, γ = 25.59°
Fractional positions:
1 Pr 0.000 0.000 0.000
2 Ga 0.119 0.119 0.119
3 Ga 0.400 0.400 0.400
4 Ga 0.600 0.600 0.600
5 Ga 0.881 0.881 0.881
6 Cu 0.240 0.240 0.240
7 Cu 0.760 0.760 0.760
8 Ag 0.500 0.500 0.500

Output
The total energy comes out at -0.1370 Ha/atom. The density of states at the Fermi level comes out at 2.32 states/eV/f.u. As for the space group: R-3m (166).

***

# 9
A plane-wave DFT calculation with PBE was carried out for a relaxed structure of PrGa4CuAg2.

a = 9.118 Å, b = 9.118 Å, c = 9.118 Å
α = 28.43°, β = 28.43°, γ = 28.43°
Fractional positions:
1 Pr 0.000 0.000 0.000
2 Ga 0.131 0.131 0.131
3 Ga 0.399 0.399 0.399
4 Ga 0.601 0.601 0.601
5 Ga 0.869 0.869 0.869
6 Cu 0.500 0.500 0.500
7 Ag 0.241 0.241 0.241
8 Ag 0.759 0.759 0.759

Output
The total energy comes out at -0.1302 Ha/atom. The density of states at the Fermi level comes out at 3.33 states/eV/f.u. As for the space group: R-3m (166).

***

# 10
A plane-wave DFT calculation with PBE was carried out for a relaxed structure of Pu2Ga3Cu4Ag.

a = 4.058 Å, b = 4.058 Å, c = 10.934 Å
α = 90.00°, β = 90.00°, γ = 90.00°
Fractional positions:
1 Pu 0.000 0.500 0.243
2 Pu 0.500 0.000 0.757
3 Ga 0.000 0.500 0.871
4 Ga 0.500 0.000 0.129
5 Ga 0.500 0.500 0.500
6 Cu 0.000 0.000 0.000
7 Cu 0.000 0.500 0.649
8 Cu 0.500 0.000 0.351
9 Cu 0.500 0.500 0.000
10 Ag 0.000 0.000 0.500

Output
The total energy comes out at -0.2146 Ha/atom. The density of states at the Fermi level comes out at 23.08 states/eV/f.u. As for the space group: P-4m2 (115).

***

# 11
A plane-wave DFT calculation with PBE was carried out for a relaxed structure of Pu2Ga4Cu3Ag.

a = 4.146 Å, b = 4.146 Å, c = 10.666 Å
α = 90.00°, β = 90.00°, γ = 90.00°
Fractional positions:
1 Pu 0.000 0.500 0.241
2 Pu 0.500 0.000 0.759
3 Ga 0.000 0.000 0.000
4 Ga 0.000 0.500 0.646
5 Ga 0.500 0.000 0.354
6 Ga 0.500 0.500 0.000
7 Cu 0.000 0.500 0.870
8 Cu 0.500 0.000 0.130
9 Cu 0.500 0.500 0.500
10 Ag 0.000 0.000 0.500

Output
The total energy comes out at -0.2130 Ha/atom. The density of states at the Fermi level comes out at 24.23 states/eV/f.u. As for the space group: P-4m2 (115).

***

# 12
A plane-wave DFT calculation with PBE was carried out for a relaxed structure of Ga2CuAgRh.

a = 4.467 Å, b = 4.467 Å, c = 4.753 Å
α = 90.00°, β = 90.00°, γ = 90.00°
Fractional positions:
1 Ga 0.000 0.500 0.000
2 Ga 0.500 0.000 0.000
3 Cu 0.000 0.000 0.000
4 Ag 0.500 0.500 0.500
5 Rh 0.000 0.000 0.500

Output
The total energy comes out at -0.1311 Ha/atom. The density of states at the Fermi level comes out at 3.62 states/eV/f.u. As for the space group: P4/mmm (123).